Here is a relaxed structure of Mg6Tl2Sn from Alexandria. Energies are from PBE.

The volume comes out at 23.94 Å³/atom. The value obtained for the spin magnetization is 0.0 μB/f.u. The value obtained for the formation energy from the elements is -0.04 eV/atom.

abc: 14.7675 10.9383 5.4677
angles: 90.00 102.61 90.00
Space group C2/c (No. 15)
One atom of each set of equivalent atoms:
Mg: 0.0563 0.1248 0.0271
Mg: 0.1059 0.3812 0.3102
Mg: 0.2197 0.3767 0.8683
Tl: 0.1706 0.1294 0.5771
Sn: 0.0000 0.3688 0.7500